(1)
Compound: ScSnRu
Source: Alexandria
Functional: GGA-PBEsol
Structure: optimized geometry

Lattice parameters (Å, degrees): 4.265 4.265 7.168 107.31 107.31 90.00
Element x y z (fractional)
Sc 0.369 0.369 0.739
Sc 0.631 0.631 0.261
Ru 0.500 0.000 0.000
Ru 0.000 0.500 0.000
Sn 0.869 0.869 0.739
Sn 0.131 0.131 0.261

Results
Calculated formation energy: -609 meV per atom
Energy: -7.6208 eV per atom

(2)
Compound: SrScRu
Source: Alexandria
Functional: GGA-PBEsol
Structure: optimized geometry

Lattice parameters (Å, degrees): 3.496 3.496 7.089 90.00 90.00 120.00
Element x y z (fractional)
Ru 0.000 0.000 0.970
Sc 0.333 0.667 0.750
Sr 0.667 0.333 0.280

Results
Calculated formation energy: 303 meV per atom
Energy: -5.9028 eV per atom

(3)
Compound: Sr2ScRu
Source: Alexandria
Functional: GGA-PBEsol
Structure: optimized geometry

Lattice parameters (Å, degrees): 3.672 4.788 6.122 90.00 102.06 90.00
Element x y z (fractional)
Ru 0.500 0.500 0.000
Sc 0.500 0.500 0.500
Sr 0.104 0.000 0.777
Sr 0.896 0.000 0.223

Results
Calculated formation energy: 644 meV per atom
Energy relative to the lowest polymorph listed for this composition: 155 meV/atom
Energy: -4.4701 eV per atom

(4)
Compound: SrScRu2
Source: Alexandria
Functional: GGA-PBEsol
Structure: optimized geometry

Lattice parameters (Å, degrees): 3.931 3.931 5.535 110.80 110.80 90.00
Element x y z (fractional)
Ru 0.000 0.000 0.000
Ru 0.750 0.250 0.500
Sc 0.500 0.500 0.000
Sr 0.250 0.750 0.500

Results
Calculated formation energy: 569 meV per atom
Energy: -6.6290 eV per atom

(5)
Compound: Sr2ScRu
Source: Alexandria
Functional: GGA-PBEsol
Structure: optimized geometry

Lattice parameters (Å, degrees): 5.180 5.180 5.180 60.00 60.00 60.00
Element x y z (fractional)
Ru 0.500 0.500 0.500
Sc 0.250 0.250 0.250
Sr 0.000 0.000 0.000
Sr 0.750 0.750 0.750

Results
Calculated formation energy: 489 meV per atom
Energy relative to the lowest polymorph listed for this composition: 0 meV/atom
Energy: -4.6252 eV per atom

(6)
Compound: SrScTl2Ru
Source: Alexandria
Functional: GGA-PBEsol
Structure: optimized geometry

Lattice parameters (Å, degrees): 4.721 5.665 5.665 90.00 90.00 90.00
Element x y z (fractional)
Sc 0.500 0.500 0.500
Ru 0.500 0.000 0.000
Tl 0.000 0.000 0.500
Tl 0.000 0.500 0.000
Sr 0.000 0.000 0.000

Results
Calculated formation energy: 1342 meV per atom
Energy: -3.4334 eV per atom

(7)
Compound: Sr2YScRu
Source: Alexandria
Functional: GGA-PBEsol
Structure: optimized geometry

Lattice parameters (Å, degrees): 5.180 5.655 5.655 90.00 90.00 90.00
Element x y z (fractional)
Y 0.500 0.000 0.000
Ru 0.000 0.000 0.000
Sc 0.500 0.500 0.500
Sr 0.000 0.000 0.500
Sr 0.000 0.500 0.000

Results
Calculated formation energy: 426 meV per atom
Energy: -5.0297 eV per atom

(8)
Compound: ScTa2Ru
Source: Alexandria
Functional: GGA-PBEsol
Structure: optimized geometry

Lattice parameters (Å, degrees): 3.095 3.095 7.265 90.00 90.00 90.00
Element x y z (fractional)
Ru 0.500 0.500 0.000
Sc 0.500 0.500 0.500
Ta 0.000 0.000 0.782
Ta 0.000 0.000 0.218

Results
Calculated formation energy: -50 meV per atom
Energy: -10.5196 eV per atom

Question: Which formula does entry 3 have?
Answer: Sr2ScRu